A geometry-optimized AcTlZn structure, computed with PBE-GGA.

theoretical density = 9.463 g cm⁻³
energy = -8.6 eV/cell
formation energy from the elements = -297.1 meV per atom

extended XYZ file:
```
3
Lattice="4.944 0.000 0.000 -2.472 4.282 0.000 0.000 0.000 4.118" Properties=species:S:1:pos:R:3 pbc="T T T"
Ac 0.000 0.000 0.000
Tl 2.472 1.427 2.059
Zn 0.000 2.854 2.059
```